Record 1
A PBEsol-optimized structure of Y2TlAgB. Source: Alexandria, functional SCAN.

Cell lengths 5.0102, 5.0102, 4.3942 Å; angles 90.00, 90.00, 90.00 degrees
Closest atoms and distances in Å follow each position.
Space group P4/mmm (No. 123)
Symmetry-distinct sites (fractional):
Y 0.0000 0.5000 0.0000 x2  2 B 2.51
Tl 0.0000 0.0000 0.5000 x1  2 B 2.20
Ag 0.5000 0.5000 0.5000 x1  8 Y 3.33, 4 Tl 3.54
B 0.0000 0.0000 0.0000 x1  2 Tl 2.20

Results
**ΔE_f**: -0.0473 eV/atom
**Total magnetization**: 0.01 Bohr magnetons per cell

=====

Record 2
A PBEsol-optimized structure of Sc4C3. Source: Alexandria, functional SCAN.

Cell lengths 4.6136, 4.6136, 4.6136 Å; angles 90.00, 90.00, 90.00 degrees
Closest atoms and distances in Å follow each position.
Space group Pm-3m (No. 221)
Symmetry-distinct sites (fractional):
Sc 0.0000 0.0000 0.0000 x1  6 C 2.31
Sc 0.0000 0.5000 0.5000 x3  4 C 2.31
C 0.0000 0.0000 0.5000 x3  6 Sc 2.31

Results
**Polymorph energy (0 for the lowest one)**: 0.2153 eV per atom
**ΔE_f**: -0.4186 eV/atom
**Total magnetization**: 0.00 Bohr magnetons per cell

=====

Record 3
A PBEsol-optimized structure of Sc2ReMo. Source: Alexandria, functional SCAN.

Cell lengths 3.2321, 4.6825, 9.4695 Å; angles 90.00, 90.00, 90.00 degrees
Closest atoms and distances in Å follow each position.
Space group Imm2 (No. 44)
Symmetry-distinct sites (fractional):
Sc 0.0000 0.0000 0.0000 x2  4 Re 2.86, 4 Mo 3.03-3.20, 4 Sc 3.07-3.16
Sc 0.0000 0.5000 0.2243 x2  4 Mo 2.88, 2 Re 2.91, 4 Sc 3.07-3.16
Re 0.0000 0.0000 0.4693 x2  2 Mo 2.48
Mo 0.0000 0.5000 0.7704 x2  2 Re 2.48

Results
**Polymorph energy (0 for the lowest one)**: 0.0239 eV per atom
**ΔE_f**: -0.0941 eV/atom
**Total magnetization**: 0.00 Bohr magnetons per cell

=====

Record 4
A PBEsol-optimized structure of Y2Ni17. Source: Alexandria, functional SCAN.

Cell lengths 8.1626, 8.1626, 7.8926 Å; angles 90.00, 90.00, 120.00 degrees
Closest atoms and distances in Å follow each position.
Space group P6_3/mmc (No. 194)
Symmetry-distinct sites (fractional):
Y 0.0000 0.0000 0.2500 x2  18 Ni 2.87-3.17
Y 0.3333 0.6667 0.2500 x2  20 Ni 2.78-3.07
Ni 0.0000 0.5000 0.0000 x6  10 Ni 2.34-2.49
Ni 0.0438 0.3716 0.7500 x12  8 Ni 2.32-2.48
Ni 0.1657 0.3315 0.0211 x12  9 Ni 2.37-2.56
Ni 0.3333 0.6667 0.6019 x4  7 Ni 2.34-2.56

Results
**ΔE_f**: -0.1858 eV/atom
**Total magnetization**: 18.53 Bohr magnetons per cell

=====

Record 5
A PBEsol-optimized structure of Tl3TcGe. Source: Alexandria, functional SCAN.

Cell lengths 5.2213, 5.2213, 5.2213 Å; angles 90.00, 90.00, 90.00 degrees
Closest atoms and distances in Å follow each position.
Space group Pm-3m (No. 221)
Symmetry-distinct sites (fractional):
Tl 0.0000 0.0000 0.5000 x3  2 Tc 2.61
Tc 0.0000 0.0000 0.0000 x1  6 Tl 2.61
Ge 0.5000 0.5000 0.5000 x1  12 Tl 3.69

Results
**ΔE_f**: 0.7985 eV/atom
**Total magnetization**: 2.33 Bohr magnetons per cell

=====

Record 6
A PBEsol-optimized structure of BAu2Cl. Source: Alexandria, functional SCAN.

Cell lengths 6.0806, 6.0806, 7.7879 Å; angles 90.00, 90.00, 90.00 degrees
Closest atoms and distances in Å follow each position.
Space group I-42d (No. 122)
Symmetry-distinct sites (fractional):
B 0.0000 0.0000 0.0000 x4  4 Au 2.08
Au 0.1691 0.2500 0.1250 x8  2 B 2.08
Cl 0.0000 0.0000 0.5000 x4  4 Au 2.70

Results
**Formation energy from raw total energies**: 15.5 kJ per mole of atoms
**Total magnetization**: 0.00 Bohr magnetons per cell

=====

Record 7
A PBEsol-optimized structure of Ga3CF. Source: Alexandria, functional SCAN.

Cell lengths 4.2713, 4.2713, 4.2713 Å; angles 90.00, 90.00, 90.00 degrees
Closest atoms and distances in Å follow each position.
Space group Pm-3m (No. 221)
Symmetry-distinct sites (fractional):
Ga 0.0000 0.0000 0.5000 x3  2 C 2.14
C 0.0000 0.0000 0.0000 x1  6 Ga 2.14
F 0.5000 0.5000 0.5000 x1  12 Ga 3.02

Results
**Formation energy from raw total energies**: 42.5 kJ per mole of atoms
**Total magnetization**: 0.00 Bohr magnetons per cell

=====

Record 8
A PBEsol-optimized structure of EuSnO3. Source: Alexandria, functional SCAN.

Cell lengths 4.0764, 4.0764, 4.0764 Å; angles 90.00, 90.00, 90.00 degrees
Closest atoms and distances in Å follow each position.
Space group Pm-3m (No. 221)
Symmetry-distinct sites (fractional):
Eu 0.0000 0.0000 0.0000 x1  12 O 2.88
Sn 0.5000 0.5000 0.5000 x1  6 O 2.04
O 0.0000 0.5000 0.5000 x3  2 Sn 2.04

Results
**Formation energy from raw total energies**: -227.0 kJ per mole of atoms
**Total magnetization**: 6.92 Bohr magnetons per cell

=====

Record 9
A PBEsol-optimized structure of Ca2Ir. Source: Alexandria, functional SCAN.

Cell lengths 7.6160, 7.6160, 4.2226 Å; angles 90.00, 90.00, 120.00 degrees
Closest atoms and distances in Å follow each position.
Space group P-62m (No. 189)
Symmetry-distinct sites (fractional):
Ca 0.0000 0.2566 0.0000 x3  4 Ir 2.88
Ca 0.0000 0.5878 0.5000 x3  5 Ir 3.12-3.14, 6 Ca 3.29-3.46
Ir 0.0000 0.0000 0.5000 x1  9 Ca 2.88-3.14
Ir 0.3333 0.6667 0.0000 x2  9 Ca 2.88-3.12

Results
**ΔE_f**: -0.3182 eV/atom
**Total magnetization**: 0.00 Bohr magnetons per cell

=====

Record 10
A PBEsol-optimized structure of MnAs2W. Source: Alexandria, functional SCAN.

Cell lengths 3.8848, 3.8848, 7.7827 Å; angles 90.00, 90.00, 90.00 degrees
Closest atoms and distances in Å follow each position.
Space group I-4m2 (No. 119)
Symmetry-distinct sites (fractional):
Mn 0.0000 0.0000 0.0000 x2  8 As 2.75, 4 W 2.75
As 0.0000 0.0000 0.5000 x2  4 Mn 2.75, 4 W 2.75, 4 As 2.75
As 0.0000 0.5000 0.7500 x2  4 W 2.75, 4 Mn 2.75, 4 As 2.75
W 0.0000 0.5000 0.2500 x2  8 As 2.75, 4 Mn 2.75

Results
**Polymorph energy (0 for the lowest one)**: 0.0476 eV per atom
**ΔE_f**: 0.3394 eV/atom
**Total magnetization**: 3.94 Bohr magnetons per cell

=====

Record 11
A PBEsol-optimized structure of Hf2Rh2Au. Source: Alexandria, functional SCAN.

Cell lengths 7.3353, 7.3353, 3.1848 Å; angles 90.00, 90.00, 90.00 degrees
Closest atoms and distances in Å follow each position.
Space group P4/mbm (No. 127)
Symmetry-distinct sites (fractional):
Hf 0.1648 0.3352 0.0000 x4  6 Rh 2.61-2.73
Rh 0.1356 0.6356 0.5000 x4  6 Hf 2.61-2.73, 1 Rh 2.81, 2 Au 2.85
Au 0.0000 0.0000 0.5000 x2  4 Rh 2.85, 8 Hf 3.17, 2 Au 3.18

Results
**ΔE_f**: -0.8865 eV/atom
**Total magnetization**: 0.00 Bohr magnetons per cell

=====

Record 12
A PBEsol-optimized structure of ZrAlMo4. Source: Alexandria, functional SCAN.

Cell lengths 7.4008, 7.4008, 7.4008 Å; angles 90.00, 90.00, 90.00 degrees
Closest atoms and distances in Å follow each position.
Space group F-43m (No. 216)
Symmetry-distinct sites (fractional):
Zr 0.0000 0.0000 0.0000 x4  12 Mo 3.07, 4 Al 3.20
Al 0.2500 0.2500 0.2500 x4  12 Mo 3.07, 4 Zr 3.20
Mo 0.1244 0.1244 0.6244 x16  6 Mo 2.60-2.63

Results
**ΔE_f**: -0.0200 eV/atom
**Total magnetization**: 0.00 Bohr magnetons per cell

=====

Record 13
A PBEsol-optimized structure of Y2HgSb. Source: Alexandria, functional SCAN.

Cell lengths 4.2747, 4.3212, 11.3005 Å; angles 90.00, 90.00, 90.00 degrees
Closest atoms and distances in Å follow each position.
Space group Amm2 (No. 38)
Symmetry-distinct sites (fractional):
Y 0.0000 0.0000 0.0000 x2  4 Hg 3.07, 3 Sb 3.11-3.34
Y 0.5000 0.0000 0.2761 x2  1 Hg 2.96, 4 Sb 3.09
Hg 0.5000 0.0000 0.5385 x2  5 Y 2.96-3.07, 2 Sb 3.00
Sb 0.0000 0.0000 0.7252 x2  2 Hg 3.00, 7 Y 3.09-3.34

Results
**Formation energy from raw total energies**: -92.9 kJ per mole of atoms
**Polymorph energy (0 for the lowest one)**: 0.0000 eV per atom
**Total magnetization**: 0.00 Bohr magnetons per cell

=====

Record 14
A PBEsol-optimized structure of LiPb2. Source: Alexandria, functional SCAN.

Cell lengths 5.0999, 5.0999, 3.4905 Å; angles 90.00, 90.00, 120.00 degrees
Closest atoms and distances in Å follow each position.
Space group P-3m1 (No. 164)
Symmetry-distinct sites (fractional):
Li 0.0000 0.0000 0.0000 x1  6 Pb 3.14, 2 Li 3.49
Pb 0.3333 0.6667 0.6907 x2  3 Li 3.14, 5 Pb 3.23-3.49

Results
**Polymorph energy (0 for the lowest one)**: 0.0356 eV per atom
**ΔE_f**: -0.1979 eV/atom
**Total magnetization**: 0.00 Bohr magnetons per cell

=====

Record 15
A PBEsol-optimized structure of Re2RuAu. Source: Alexandria, functional SCAN.

Cell lengths 2.8304, 4.5657, 9.3781 Å; angles 90.00, 90.00, 90.00 degrees
Closest atoms and distances in Å follow each position.
Space group Cmm2 (No. 35)
Symmetry-distinct sites (fractional):
Re 0.0000 0.0000 0.0000 x2  2 Ru 2.60, 8 Re 2.65-2.83
Re 0.0000 0.5000 0.2388 x2  8 Re 2.65-2.83, 2 Au 2.87
Ru 0.0000 0.5000 0.7671 x2  2 Re 2.60, 6 Ru 2.69-2.83, 2 Au 2.83
Au 0.0000 0.0000 0.5054 x2  6 Au 2.69-2.83, 2 Ru 2.83, 2 Re 2.87

Results
**Polymorph energy (0 for the lowest one)**: 0.1097 eV per atom
**ΔE_f**: 0.4153 eV/atom
**Total magnetization**: 1.17 Bohr magnetons per cell

=====

Record 16
A PBEsol-optimized structure of Ho2MgS4. Source: Alexandria, functional SCAN.

Cell lengths 8.0185, 8.0185, 8.3226 Å; angles 90.00, 90.00, 90.00 degrees
Closest atoms and distances in Å follow each position.
Space group I-42d (No. 122)
Symmetry-distinct sites (fractional):
Ho 0.1290 0.2500 0.1250 x8  6 S 2.67-2.90
Mg 0.0000 0.0000 0.5000 x4  4 S 2.59
S 0.0693 0.1909 0.8085 x16  1 Mg 2.59, 2 Ho 2.67-2.72

Results
**Formation energy from raw total energies**: -199.3 kJ per mole of atoms
**Polymorph energy (0 for the lowest one)**: 0.0945 eV per atom
**Total magnetization**: 0.00 Bohr magnetons per cell

=====

Record 17
A PBEsol-optimized structure of Cd5In24. Source: Alexandria, functional SCAN.

Cell lengths 11.3412, 11.3412, 11.3412 Å; angles 90.00, 90.00, 90.00 degrees
Closest atoms and distances in Å follow each position.
Space group I-43m (No. 217)
Symmetry-distinct sites (fractional):
Cd 0.0000 0.0000 0.0000 x2  4 Cd 3.10
Cd 0.1577 0.1577 0.1577 x8  1 Cd 3.10, 9 In 3.23-3.32
In 0.0589 0.3612 0.6388 x24  11 In 3.13-3.49, 1 Cd 3.23
In 0.0959 0.0959 0.7106 x24  8 In 3.08-3.21, 2 Cd 3.32

Results
**ΔE_f**: 0.0844 eV/atom
**Total magnetization**: 0.00 Bohr magnetons per cell

=====

Record 18
A PBEsol-optimized structure of La3ZrGa5O14. Source: Alexandria, functional SCAN.

Cell lengths 8.2537, 8.2537, 5.1541 Å; angles 90.00, 90.00, 120.00 degrees
Closest atoms and distances in Å follow each position.
Space group P321 (No. 150)
Symmetry-distinct sites (fractional):
La 0.0000 0.5728 0.0000 x3  6 O 2.40-2.63
Zr 0.0000 0.0000 0.0000 x1  6 O 2.09
Ga 0.0000 0.2454 0.5000 x3  4 O 1.85-1.87
Ga 0.3333 0.6667 0.5307 x2  4 O 1.81-1.86
O 0.0792 0.8500 0.2454 x6  1 Ga 1.85
O 0.1457 0.4584 0.7007 x6  2 Ga 1.86-1.87
O 0.3333 0.6667 0.1799 x2  1 Ga 1.81

Results
**Formation energy from raw total energies**: -279.0 kJ per mole of atoms
**Total magnetization**: 0.00 Bohr magnetons per cell

=====

Record 19
A PBEsol-optimized structure of MnPRu. Source: Alexandria, functional SCAN.

Cell lengths 5.4291, 5.4291, 5.4291 Å; angles 90.00, 90.00, 90.00 degrees
Closest atoms and distances in Å follow each position.
Space group F-43m (No. 216)
Symmetry-distinct sites (fractional):
Mn 0.0000 0.0000 0.0000 x4  4 P 2.35
P 0.2500 0.2500 0.2500 x4  4 Mn 2.35, 4 Ru 2.35
Ru 0.0000 0.0000 0.5000 x4  4 P 2.35

Results
**ΔE_f**: -0.5292 eV/atom
**Total magnetization**: 12.09 Bohr magnetons per cell

=====

Record 20
A PBEsol-optimized structure of KCu2Mo. Source: Alexandria, functional SCAN.

Cell lengths 2.6715, 2.6715, 9.2215 Å; angles 90.00, 90.00, 90.00 degrees
Closest atoms and distances in Å follow each position.
Space group P4mm (No. 99)
Symmetry-distinct sites (fractional):
K 0.0000 0.0000 0.0000 x1  4 K 2.67
Cu 0.0000 0.0000 0.5360 x1  8 Cu 2.46-2.67, 4 Mo 2.68
Cu 0.5000 0.5000 0.7075 x1  8 Cu 2.46-2.67
Mo 0.5000 0.5000 0.3304 x1  4 Mo 2.67, 4 Cu 2.68

Results
**Polymorph energy (0 for the lowest one)**: 0.0000 eV per atom
**ΔE_f**: 0.7200 eV/atom
**Total magnetization**: 0.00 Bohr magnetons per cell